Compound: TaCu3B
Source: the Alexandria database
Functional: PBE-GGA
Structure: relaxed

Cell and atoms, written as POSCAR:
```
TaCu3B
1.0
-0.784 -0.276 -4.742
3.214 -3.570 -0.323
-3.497 -3.219 0.765
B Cu Ta
1 3 1
direct
0.500 0.500 0.500
0.000 0.500 0.000
0.000 0.000 0.500
0.500 0.000 0.000
0.000 0.000 0.000
```

Results
Its space-group type is Pm-3m, No. 221. For the polymorph energy (0 for the lowest one), the calculation gives 1972 meV per atom. The calculation puts the energy relative to the elements at 2360 meV/atom.